1.
# Ba2SnBr

A geometry-optimized Ba2SnBr structure (PBE-GGA, the Alexandria database).

The structure belongs to space group I-42d (No. 122); the cell edges are 7.384, 7.384 and 16.655 Å and the angles 90.00°, 90.00° and 90.00°. The inequivalent atoms are Ba at (0.244, 0.250, 0.125), Sn at (0.000, 0.000, 0.500) and Br at (0.000, 0.000, 0.000).

The formation energy from raw total energies comes out at -327 kJ/mol of formula units.


2.
# BaSn2Br

A geometry-optimized BaSn2Br structure (PBE-GGA, the Alexandria database).

The structure belongs to space group I-42d (No. 122); the cell edges are 4.504, 4.504 and 28.706 Å and the angles 90.00°, 90.00° and 90.00°. The inequivalent atoms are Ba at (0.000, 0.000, 0.000), Sn at (0.224, 0.250, 0.125) and Br at (0.000, 0.000, 0.500).

The formation energy from raw total energies comes out at -277 kJ/mol of formula units.